(1)
# Cd2HgF

Crystalline Cd2HgF at its relaxed geometry (PBE, Alexandria via LeMat-Bulk).

```
Cd2HgF
1.0
6.9100 0.0000 0.0000
0.0000 6.9100 0.0000
0.0000 0.0000 6.9100
Cd Hg F
8 4 4
direct
0.2500 0.2500 0.2500
0.2500 0.2500 0.7500
0.2500 0.7500 0.2500
0.2500 0.7500 0.7500
0.7500 0.2500 0.2500
0.7500 0.2500 0.7500
0.7500 0.7500 0.2500
0.7500 0.7500 0.7500
0.0000 0.0000 0.0000
0.0000 0.5000 0.5000
0.5000 0.0000 0.5000
0.5000 0.5000 0.0000
0.0000 0.0000 0.5000
0.0000 0.5000 0.0000
0.5000 0.0000 0.0000
0.5000 0.5000 0.5000
```

Calculated values
**Formation energy from raw total energies**: -54.1 kJ/mol of atoms
**N(E_F)**: 1.10 states/eV/f.u.
**SG**: No. 225
**Calculated total energy**: -0.1148 Ry per atom
**Excess energy over the best structure of this formula in the dataset**: 11.56 kJ per mole of atoms
**V**: 20.62 A^3/atom

---

(2)
# CdHgF6

Crystalline CdHgF6 at its relaxed geometry (PBE, Alexandria via LeMat-Bulk).

```
CdHgF6
1.0
5.5655 0.0000 0.0000
0.0000 8.7817 0.0000
-1.1701 0.0000 5.4098
Cd Hg F
2 2 12
direct
0.0000 0.0000 0.0000
0.5000 0.5000 0.0000
0.0000 0.5000 0.5000
0.5000 0.0000 0.5000
0.2286 0.3456 0.7466
0.2286 0.6544 0.7466
0.2408 0.0000 0.7326
0.2592 0.5000 0.2674
0.2714 0.1544 0.2534
0.2714 0.8456 0.2534
0.7286 0.1544 0.7466
0.7286 0.8456 0.7466
0.7408 0.5000 0.7326
0.7592 0.0000 0.2674
0.7714 0.3456 0.2534
0.7714 0.6544 0.2534
```

Calculated values
**Formation energy from raw total energies**: -125.8 kJ/mol of atoms
**N(E_F)**: 0.70 states/eV/f.u.
**SG**: No. 12
**Calculated total energy**: -0.2102 Ry per atom
**V**: 16.53 A^3/atom

---

(3)
# Cd2HgF2

Crystalline Cd2HgF2 at its relaxed geometry (PBE, Alexandria via LeMat-Bulk).

```
Cd2HgF2
1.0
7.8959 0.0000 0.0000
0.0000 7.8959 0.0000
0.0000 0.0000 3.0347
Cd Hg F
4 2 4
direct
0.1406 0.3594 0.0000
0.3594 0.8594 0.0000
0.6406 0.1406 0.0000
0.8594 0.6406 0.0000
0.0000 0.0000 0.0000
0.5000 0.5000 0.0000
0.1151 0.6151 0.5000
0.3849 0.1151 0.5000
0.6151 0.8849 0.5000
0.8849 0.3849 0.5000
```

Calculated values
**Formation energy from raw total energies**: -98.0 kJ/mol of atoms
**N(E_F)**: 1.60 states/eV/f.u.
**SG**: No. 127
**Calculated total energy**: -0.1610 Ry per atom
**Excess energy over the best structure of this formula in the dataset**: 23.22 kJ per mole of atoms
**V**: 18.92 A^3/atom

---

(4)
# Cd2HgF6

Crystalline Cd2HgF6 at its relaxed geometry (PBE, Alexandria via LeMat-Bulk).

```
Cd2HgF6
1.0
5.2368 0.0000 0.0000
0.0000 5.2368 0.0000
0.0000 0.0000 10.8822
Cd Hg F
4 2 12
direct
0.0000 0.0000 0.1670
0.0000 0.0000 0.8330
0.5000 0.5000 0.3330
0.5000 0.5000 0.6670
0.0000 0.0000 0.5000
0.5000 0.5000 0.0000
0.1877 0.1877 0.0000
0.1954 0.1954 0.3284
0.1954 0.1954 0.6716
0.3046 0.6954 0.1716
0.3046 0.6954 0.8284
0.3123 0.6877 0.5000
0.6877 0.3123 0.5000
0.6954 0.3046 0.1716
0.6954 0.3046 0.8284
0.8046 0.8046 0.3284
0.8046 0.8046 0.6716
0.8123 0.8123 0.0000
```

Calculated values
**Formation energy from raw total energies**: -186.7 kJ/mol of atoms
**N(E_F)**: 0.00 states/eV/f.u.
**SG**: No. 136
**Calculated total energy**: -0.2513 Ry per atom
**Excess energy over the best structure of this formula in the dataset**: 0.00 kJ per mole of atoms
**V**: 16.58 A^3/atom

---

(5)
# CdHg2F8

Crystalline CdHg2F8 at its relaxed geometry (PBE, Alexandria via LeMat-Bulk).

```
CdHg2F8
1.0
4.9174 -3.5652 0.0000
4.9174 3.5652 0.0000
-1.0061 0.0000 4.8782
Cd Hg F
1 2 8
direct
0.0000 0.0000 0.0000
0.3177 0.3177 0.5530
0.6823 0.6823 0.4470
0.0639 0.6760 0.6954
0.1901 0.1901 0.8367
0.3240 0.9361 0.3046
0.4304 0.4304 0.2440
0.5696 0.5696 0.7560
0.6760 0.0639 0.6954
0.8099 0.8099 0.1633
0.9361 0.3240 0.3046
```

Calculated values
**Formation energy from raw total energies**: -130.3 kJ/mol of atoms
**N(E_F)**: 6.30 states/eV/f.u.
**SG**: No. 12
**Calculated total energy**: -0.2094 Ry per atom
**Excess energy over the best structure of this formula in the dataset**: 2.22 kJ per mole of atoms
**V**: 15.55 A^3/atom

---

(6)
# Cd3HgF8

Crystalline Cd3HgF8 at its relaxed geometry (PBE, Alexandria via LeMat-Bulk).

```
Cd3HgF8
1.0
5.5280 0.0000 0.0000
0.0000 5.5280 0.0000
0.0000 0.0000 5.5280
Cd Hg F
3 1 8
direct
0.0000 0.0000 0.5000
0.0000 0.5000 0.0000
0.5000 0.0000 0.0000
0.5000 0.5000 0.5000
0.2461 0.2461 0.2461
0.2461 0.2461 0.7539
0.2461 0.7539 0.2461
0.2461 0.7539 0.7539
0.7539 0.2461 0.2461
0.7539 0.2461 0.7539
0.7539 0.7539 0.2461
0.7539 0.7539 0.7539
```

Calculated values
**Formation energy from raw total energies**: -193.5 kJ/mol of atoms
**N(E_F)**: 0.00 states/eV/f.u.
**SG**: No. 221
**Calculated total energy**: -0.2578 Ry per atom
**V**: 14.08 A^3/atom

---

(7)
# Cd5Hg12F3

Crystalline Cd5Hg12F3 at its relaxed geometry (PBE, Alexandria via LeMat-Bulk).

```
Cd5Hg12F3
1.0
-8.3210 8.3210 8.3210
8.3210 -8.3210 8.3210
8.3210 8.3210 -8.3210
Cd Hg F
20 48 12
direct
0.0000 0.0000 0.0000
0.0000 0.0000 0.5000
0.0000 0.5000 0.0000
0.0000 0.5000 0.5000
0.1250 0.7500 0.8750
0.1250 0.8750 0.2500
0.2500 0.1250 0.8750
0.2500 0.6250 0.3750
0.3750 0.2500 0.6250
0.3750 0.6250 0.7500
0.5000 0.0000 0.0000
0.5000 0.0000 0.5000
0.5000 0.5000 0.0000
0.5000 0.5000 0.5000
0.6250 0.3750 0.2500
0.6250 0.7500 0.3750
0.7500 0.3750 0.6250
0.7500 0.8750 0.1250
0.8750 0.1250 0.7500
0.8750 0.2500 0.1250
0.0547 0.6293 0.3844
0.0547 0.9254 0.6703
0.0746 0.2449 0.1293
0.0746 0.3297 0.9453
0.1156 0.7449 0.6703
0.1156 0.8707 0.4453
0.1293 0.0746 0.2449
0.1293 0.5547 0.8844
0.1703 0.2449 0.6156
0.1703 0.4254 0.5547
0.2449 0.1293 0.0746
0.2449 0.6156 0.1703
0.2551 0.3297 0.8844
0.2551 0.4254 0.3707
0.3297 0.8844 0.2551
0.3297 0.9453 0.0746
0.3707 0.2551 0.4254
0.3707 0.6156 0.9453
0.3844 0.0547 0.6293
0.3844 0.8297 0.7551
0.4254 0.3707 0.2551
0.4254 0.5547 0.1703
0.4453 0.1156 0.8707
0.4453 0.8297 0.5746
0.5547 0.1703 0.4254
0.5547 0.8844 0.1293
0.5746 0.4453 0.8297
0.5746 0.6293 0.7449
0.6156 0.1703 0.2449
0.6156 0.9453 0.3707
0.6293 0.3844 0.0547
0.6293 0.7449 0.5746
0.6703 0.0547 0.9254
0.6703 0.1156 0.7449
0.7449 0.5746 0.6293
0.7449 0.6703 0.1156
0.7551 0.3844 0.8297
0.7551 0.8707 0.9254
0.8297 0.5746 0.4453
0.8297 0.7551 0.3844
0.8707 0.4453 0.1156
0.8707 0.9254 0.7551
0.8844 0.1293 0.5547
0.8844 0.2551 0.3297
0.9254 0.6703 0.0547
0.9254 0.7551 0.8707
0.9453 0.0746 0.3297
0.9453 0.3707 0.6156
0.1250 0.2500 0.3750
0.1250 0.3750 0.7500
0.2500 0.3750 0.1250
0.2500 0.8750 0.6250
0.3750 0.1250 0.2500
0.3750 0.7500 0.1250
0.6250 0.2500 0.8750
0.6250 0.8750 0.7500
0.7500 0.1250 0.3750
0.7500 0.6250 0.8750
0.8750 0.6250 0.2500
0.8750 0.7500 0.6250
```

Calculated values
**Formation energy from raw total energies**: -29.3 kJ/mol of atoms
**N(E_F)**: 4.26 states/eV/f.u.
**SG**: No. 230
**Calculated total energy**: -0.0731 Ry per atom
**V**: 28.81 A^3/atom

---

(8)
# CdHgF

Crystalline CdHgF at its relaxed geometry (PBE, Alexandria via LeMat-Bulk).

```
CdHgF
1.0
3.4703 0.0000 0.0000
-0.0014 5.5277 0.0000
-0.9332 -2.7564 7.3132
Cd Hg F
2 2 2
direct
0.0000 0.0000 0.0000
0.4130 0.3214 0.6419
0.2047 0.5356 0.3204
0.7061 0.0085 0.3211
0.4432 0.0904 0.8366
0.9698 0.5748 0.8054
```

Calculated values
**Formation energy from raw total energies**: -99.5 kJ/mol of atoms
**N(E_F)**: 0.34 states/eV/f.u.
**SG**: No. 1
**Calculated total energy**: -0.1514 Ry per atom
**Excess energy over the best structure of this formula in the dataset**: 1.47 kJ per mole of atoms
**V**: 23.38 A^3/atom

---

Look up the calculated total energy of the fourth one. -0.2513 Ry per atom